Run w
Here is a geometry-optimized Ti4AlSb structure from Alexandria via LeMat-Bulk. Energies are from GGA-PBE.

Cell: 9.5349 3.7220 6.2300 Å, 90.00 108.70 90.00°
Space group C2/m (No. 12)
Inequivalent atoms, fractional coordinates:
Ti  0.1674  0.0000  0.3442 x4
Ti  0.1691  0.0000  0.8249 x4
Al  0.0000  0.5000  0.5000 x2
Sb  0.0000  0.5000  0.0000 x2

Calculated volume in Å³/cell: 209
Size of the total moment in μB per cell: 0.00


Run x
Here is a geometry-optimized Ti4AlSb structure from Alexandria via LeMat-Bulk. Energies are from GGA-PBE.

Cell: 14.2547 5.1828 6.2119 Å, 90.00 97.86 90.00°
Space group C2/c (No. 15)
Inequivalent atoms, fractional coordinates:
Ti  0.0721  0.1131  0.4182 x8
Ti  0.1613  0.3317  0.0933 x8
Al  0.2500  0.2500  0.5000 x4
Sb  0.0000  0.3863  0.7500 x4

Calculated volume in Å³/cell: 455
Size of the total moment in μB per cell: 0.03


Short version: run w is the most stable of them.


Run w
Here is a geometry-optimized Al2TlSb structure from Alexandria via LeMat-Bulk. Energies are from GGA-PBE.

Cell: 3.2512 3.2512 31.4905 Å, 90.00 90.00 120.00°
Space group R-3m (No. 166, hexagonal axes)
Inequivalent atoms, fractional coordinates:
Al  0.0000  0.0000  0.2464 x6
Tl  0.0000  0.0000  0.0000 x3
Sb  0.0000  0.0000  0.5000 x3

Calculated volume in Å³/cell: 288
Size of the total moment in μB per cell: 0.00


Run x
Here is a geometry-optimized Al2TlSb structure from Alexandria via LeMat-Bulk. Energies are from GGA-PBE.

Cell: 4.8414 4.8414 4.0264 Å, 90.00 90.00 90.00°
Space group P4/mmm (No. 123)
Inequivalent atoms, fractional coordinates:
Al  0.0000  0.5000  0.0000 x2
Tl  0.0000  0.0000  0.5000 x1
Sb  0.5000  0.5000  0.5000 x1

Calculated volume in Å³/cell: 94
Size of the total moment in μB per cell: 0.00


Short version: run x is the most stable of them.